1.
Compound: Sm3InCu
Source: the Alexandria database
Functional: PBE-GGA
Structure: relaxed

Output
**Formation enthalpy at 0 K**: -0.64 eV per formula unit

Cell: 8.658 8.658 7.926 Å, 90.00 90.00 83.06°
Fractional positions:
Sm1 0.018 0.701 0.406
Sm2 0.073 0.927 0.796
Sm3 0.201 0.518 0.906
Sm4 0.299 0.982 0.406
Sm5 0.427 0.573 0.296
Sm6 0.482 0.799 0.906
Sm7 0.518 0.201 0.094
Sm8 0.573 0.427 0.704
Sm9 0.701 0.018 0.594
Sm10 0.799 0.482 0.094
Sm11 0.927 0.073 0.204
Sm12 0.982 0.299 0.594
In1 0.167 0.333 0.250
In2 0.333 0.167 0.750
In3 0.667 0.833 0.250
In4 0.833 0.667 0.750
Cu1 0.195 0.805 0.118
Cu2 0.305 0.695 0.618
Cu3 0.695 0.305 0.382
Cu4 0.805 0.195 0.882

=====

2.
Compound: SmIn3Cu8
Source: the Alexandria database
Functional: PBE-GGA
Structure: relaxed

Output
**Formation enthalpy at 0 K**: -1.55 eV per formula unit
**E above lowest polymorph**: 0 meV/atom

Cell: 8.972 8.972 8.972 Å, 32.97 32.97 32.97°
Fractional positions:
Sm1 0.000 0.000 0.000
In1 0.379 0.379 0.379
In2 0.500 0.500 0.500
In3 0.875 0.875 0.875
Cu1 0.187 0.187 0.187
Cu2 0.436 0.436 0.934
Cu3 0.436 0.934 0.436
Cu4 0.442 0.938 0.938
Cu5 0.688 0.688 0.688
Cu6 0.934 0.436 0.436
Cu7 0.938 0.442 0.938
Cu8 0.938 0.938 0.442

=====

3.
Compound: SmIn6Cu6
Source: the Alexandria database
Functional: PBE-GGA
Structure: relaxed

Output
**Formation enthalpy at 0 K**: -1.85 eV per formula unit

Cell: 7.111 7.111 7.111 Å, 134.52 98.81 98.37°
Fractional positions:
Sm1 0.000 0.000 0.000
In1 0.185 0.685 0.500
In2 0.338 0.000 0.338
In3 0.343 0.343 0.000
In4 0.657 0.657 0.000
In5 0.662 0.000 0.662
In6 0.815 0.315 0.500
Cu1 0.000 0.000 0.500
Cu2 0.000 0.500 0.000
Cu3 0.236 0.500 0.736
Cu4 0.500 0.000 0.000
Cu5 0.500 0.500 0.500
Cu6 0.764 0.500 0.264

=====

4.
Compound: Sm2In8Cu
Source: the Alexandria database
Functional: PBE-GGA
Structure: relaxed

Output
**Formation enthalpy at 0 K**: -3.52 eV per formula unit

Cell: 4.714 4.714 12.278 Å, 90.00 90.00 90.00°
Fractional positions:
Sm1 0.000 0.000 0.191
Sm2 0.000 0.000 0.809
In1 0.000 0.500 0.000
In2 0.000 0.500 0.376
In3 0.000 0.500 0.624
In4 0.500 0.000 0.000
In5 0.500 0.000 0.376
In6 0.500 0.000 0.624
In7 0.500 0.500 0.192
In8 0.500 0.500 0.808
Cu1 0.000 0.000 0.500

=====

5.
Compound: Sm5InCu2
Source: the Alexandria database
Functional: PBE-GGA
Structure: relaxed

Output
**Formation enthalpy at 0 K**: -1.64 eV per formula unit

Cell: 8.728 8.728 8.728 Å, 124.70 124.70 82.03°
Fractional positions:
Sm1 0.000 0.000 0.000
Sm2 0.012 0.512 0.810
Sm3 0.202 0.012 0.500
Sm4 0.298 0.798 0.810
Sm5 0.488 0.298 0.500
Sm6 0.500 0.500 0.000
Sm7 0.512 0.702 0.500
Sm8 0.702 0.202 0.190
Sm9 0.798 0.988 0.500
Sm10 0.988 0.488 0.190
In1 0.250 0.250 0.000
In2 0.750 0.750 0.000
Cu1 0.128 0.372 0.500
Cu2 0.372 0.872 0.243
Cu3 0.628 0.128 0.757
Cu4 0.872 0.628 0.500

=====

6.
Compound: Sm3InCu2
Source: the Alexandria database
Functional: PBE-GGA
Structure: relaxed

Output
**Formation enthalpy at 0 K**: -1.63 eV per formula unit

Cell: 3.560 3.560 11.492 Å, 90.00 90.00 90.00°
Fractional positions:
Sm1 0.000 0.000 0.000
Sm2 0.000 0.000 0.309
Sm3 0.000 0.000 0.691
In1 0.500 0.500 0.500
Cu1 0.500 0.500 0.154
Cu2 0.500 0.500 0.846